[1]
{
  "formula": "NbPd6Au2",
  "functional": "PBE",
  "state": "optimized geometry",
  "polymorph_energy_mev_per_atom": 219,
  "magmom_total_mub_per_fu": 0.00,
  "lattice": [[-3.3401, 1.2580, -5.1343], [0.5517, -5.1049, -1.6182], [-3.6375, -3.6933, 1.4530]],
  "species": ["Nb", "Pd", "Pd", "Pd", "Pd", "Pd", "Pd", "Au", "Au"],
  "frac_coords": [[0.0000, 0.0000, 0.0000], [0.3184, 0.3403, 0.8297], [0.3195, 0.8297, 0.8297], [0.3184, 0.8297, 0.3403], [0.6816, 0.6597, 0.1703], [0.6805, 0.1703, 0.1703], [0.6816, 0.1703, 0.6597], [0.9073, 0.6667, 0.6667], [0.0927, 0.3333, 0.3333]]
}



[2]
{
  "formula": "NbPd4Au2",
  "functional": "PBE",
  "state": "optimized geometry",
  "polymorph_energy_mev_per_atom": 173,
  "magmom_total_mub_per_fu": 0.00,
  "lattice": [[8.8236, 0.0000, 0.0000], [0.0000, 4.0415, -3.3657], [0.0000, -0.7369, 7.3088]],
  "species": ["Nb", "Nb", "Pd", "Pd", "Pd", "Pd", "Pd", "Pd", "Pd", "Pd", "Au", "Au", "Au", "Au"],
  "frac_coords": [[0.0000, 0.0000, 0.0000], [0.5000, 0.5000, 0.0000], [0.7500, 0.6343, 0.8852], [0.8444, 0.4310, 0.4317], [0.6556, 0.9310, 0.4317], [0.7500, 0.1343, 0.8852], [0.2500, 0.8657, 0.1148], [0.3444, 0.0690, 0.5683], [0.1556, 0.5690, 0.5683], [0.2500, 0.3657, 0.1148], [0.9554, 0.7530, 0.2536], [0.0446, 0.2470, 0.7464], [0.4554, 0.7470, 0.7464], [0.5446, 0.2530, 0.2536]]
}



[3]
{
  "formula": "Nb2Pd5Au",
  "functional": "PBE",
  "state": "optimized geometry",
  "energy_ha_per_atom": -0.2266,
  "magmom_total_mub_per_fu": 0.00,
  "lattice": [[-0.8568, 1.6492, -2.0122], [-8.1973, -1.5827, 4.0576], [1.5370, 8.7523, 6.5189]],
  "species": ["Nb", "Nb", "Nb", "Nb", "Pd", "Pd", "Pd", "Pd", "Pd", "Pd", "Pd", "Pd", "Pd", "Pd", "Au", "Au"],
  "frac_coords": [[0.8754, 0.7509, 0.4944], [0.8754, 0.7509, 0.0056], [0.1246, 0.2491, 0.5056], [0.1246, 0.2491, 0.9944], [0.0008, 0.0016, 0.8756], [0.0008, 0.0016, 0.6244], [0.2586, 0.5172, 0.3854], [0.2586, 0.5172, 0.1146], [0.8648, 0.7296, 0.2500], [0.1352, 0.2704, 0.7500], [0.7414, 0.4828, 0.6146], [0.7414, 0.4828, 0.8854], [0.9992, 0.9984, 0.1244], [0.9992, 0.9984, 0.3756], [0.8687, 0.7374, 0.7500], [0.1313, 0.2626, 0.2500]]
}